AlTlAs2: optimized geometry, GGA-PBE.

The structure in CIF format:
```
data_AlTlAs2
_chemical_formula_sum 'Al1 Tl1 As2'
_space_group_name_H-M_alt 'P 4/m m m'
_space_group_IT_number 123
_space_group_name_Hall '-P 4 2'
_cell_length_a 5.4377
_cell_length_b 5.4377
_cell_length_c 2.9761
_cell_angle_alpha 90.00
_cell_angle_beta 90.00
_cell_angle_gamma 90.00
loop_
_atom_site_label
_atom_site_type_symbol
_atom_site_fract_x
_atom_site_fract_y
_atom_site_fract_z
_atom_site_occupancy
Al1 Al 0.0000 0.0000 0.0000 1
Tl1 Tl 0.5000 0.5000 0.0000 1
As1 As 0.0000 0.5000 0.5000 1
```

Offset from the most stable computed form: 0.509 eV/atom
Crystal system: tetragonal
Uncorrected energy: -14.08 eV for the cell shown
Formation enthalpy at 0 K: 333 meV/atom
DOS at the Fermi energy: 2.13 states/eV/cell

AlTlAs: optimized geometry, GGA-PBE.

The structure in CIF format:
```
data_AlTlAs
_chemical_formula_sum 'Al4 Tl4 As4'
_space_group_name_H-M_alt 'F -4 3 m'
_space_group_IT_number 216
_space_group_name_Hall 'F -4 2 3'
_cell_length_a 6.7043
_cell_length_b 6.7043
_cell_length_c 6.7043
_cell_angle_alpha 90.00
_cell_angle_beta 90.00
_cell_angle_gamma 90.00
loop_
_atom_site_label
_atom_site_type_symbol
_atom_site_fract_x
_atom_site_fract_y
_atom_site_fract_z
_atom_site_occupancy
Al1 Al 0.0000 0.0000 0.0000 1
Tl1 Tl 0.2500 0.2500 0.7500 1
As1 As 0.2500 0.2500 0.2500 1
```

Offset from the most stable computed form: 0.297 eV/atom
Crystal system: cubic
Uncorrected energy: -40.90 eV for the cell shown
Formation enthalpy at 0 K: 178 meV/atom
DOS at the Fermi energy: 7.57 states/eV/cell

Al2TlAs: optimized geometry, GGA-PBE.

The structure in CIF format:
```
data_Al2TlAs
_chemical_formula_sum 'Al4 Tl2 As2'
_space_group_name_H-M_alt 'I m m m'
_space_group_IT_number 71
_space_group_name_Hall '-I 2 2'
_cell_length_a 3.6504
_cell_length_b 5.6994
_cell_length_c 8.6931
_cell_angle_alpha 90.00
_cell_angle_beta 90.00
_cell_angle_gamma 90.00
loop_
_atom_site_label
_atom_site_type_symbol
_atom_site_fract_x
_atom_site_fract_y
_atom_site_fract_z
_atom_site_occupancy
Al1 Al 0.0000 0.0000 0.2115 1
Tl1 Tl 0.0000 0.5000 0.0000 1
As1 As 0.0000 0.5000 0.5000 1
```

Offset from the most stable computed form: 0.196 eV/atom
Crystal system: orthorhombic
Uncorrected energy: -27.36 eV for the cell shown
Formation enthalpy at 0 K: 205 meV/atom
DOS at the Fermi energy: 3.11 states/eV/cell

Al2TlAs: optimized geometry, GGA-PBE.

The structure in CIF format:
```
data_Al2TlAs
_chemical_formula_sum 'Al8 Tl4 As4'
_space_group_name_H-M_alt 'F m -3 m'
_space_group_IT_number 225
_space_group_name_Hall '-F 4 2 3'
_cell_length_a 6.9905
_cell_length_b 6.9905
_cell_length_c 6.9905
_cell_angle_alpha 90.00
_cell_angle_beta 90.00
_cell_angle_gamma 90.00
loop_
_atom_site_label
_atom_site_type_symbol
_atom_site_fract_x
_atom_site_fract_y
_atom_site_fract_z
_atom_site_occupancy
Al1 Al 0.2500 0.2500 0.2500 1
Tl1 Tl 0.0000 0.0000 0.0000 1
As1 As 0.0000 0.0000 0.5000 1
```

Offset from the most stable computed form: 0.279 eV/atom
Crystal system: cubic
Uncorrected energy: -53.38 eV for the cell shown
Formation enthalpy at 0 K: 289 meV/atom
DOS at the Fermi energy: 8.58 states/eV/cell

AlTlAs: optimized geometry, GGA-PBE.

The structure in CIF format:
```
data_AlTlAs
_chemical_formula_sum 'Al1 Tl1 As1'
_space_group_name_H-M_alt 'P -6 m 2'
_space_group_IT_number 187
_space_group_name_Hall 'P -6 2'
_cell_length_a 4.9682
_cell_length_b 4.9682
_cell_length_c 3.1777
_cell_angle_alpha 90.00
_cell_angle_beta 90.00
_cell_angle_gamma 120.00
loop_
_atom_site_label
_atom_site_type_symbol
_atom_site_fract_x
_atom_site_fract_y
_atom_site_fract_z
_atom_site_occupancy
Al1 Al 0.0000 0.0000 0.0000 1
Tl1 Tl 0.3333 0.6667 0.5000 1
As1 As 0.6667 0.3333 0.0000 1
```

Offset from the most stable computed form: 0.338 eV/atom
Crystal system: hexagonal
Uncorrected energy: -10.10 eV for the cell shown
Formation enthalpy at 0 K: 219 meV/atom
DOS at the Fermi energy: 1.66 states/eV/cell

AlTlAs2: optimized geometry, GGA-PBE.

The structure in CIF format:
```
data_AlTlAs2
_chemical_formula_sum 'Al2 Tl2 As4'
_space_group_name_H-M_alt 'I m m m'
_space_group_IT_number 71
_space_group_name_Hall '-I 2 2'
_cell_length_a 3.1092
_cell_length_b 5.6416
_cell_length_c 10.2703
_cell_angle_alpha 90.00
_cell_angle_beta 90.00
_cell_angle_gamma 90.00
loop_
_atom_site_label
_atom_site_type_symbol
_atom_site_fract_x
_atom_site_fract_y
_atom_site_fract_z
_atom_site_occupancy
Al1 Al 0.0000 0.0000 0.0000 1
Tl1 Tl 0.0000 0.0000 0.5000 1
As1 As 0.0000 0.5000 0.2962 1
```

Offset from the most stable computed form: 0.401 eV/atom
Crystal system: orthorhombic
Uncorrected energy: -29.01 eV for the cell shown
Formation enthalpy at 0 K: 225 meV/atom
DOS at the Fermi energy: 4.37 states/eV/cell

Al2Tl2As: optimized geometry, GGA-PBE.

The structure in CIF format:
```
data_Al2Tl2As
_chemical_formula_sum 'Al4 Tl4 As2'
_space_group_name_H-M_alt 'P 4/m b m'
_space_group_IT_number 127
_space_group_name_Hall '-P 4 2ab'
_cell_length_a 6.8039
_cell_length_b 6.8039
_cell_length_c 5.3223
_cell_angle_alpha 90.00
_cell_angle_beta 90.00
_cell_angle_gamma 90.00
loop_
_atom_site_label
_atom_site_type_symbol
_atom_site_fract_x
_atom_site_fract_y
_atom_site_fract_z
_atom_site_occupancy
Al1 Al 0.1383 0.3617 0.0000 1
Tl1 Tl 0.1779 0.6779 0.5000 1
As1 As 0.0000 0.0000 0.0000 1
```

Crystal system: tetragonal
Uncorrected energy: -32.49 eV for the cell shown
Formation enthalpy at 0 K: 124 meV/atom
DOS at the Fermi energy: 6.24 states/eV/cell

AlTlAs3: optimized geometry, GGA-PBE.

The structure in CIF format:
```
data_AlTlAs3
_chemical_formula_sum 'Al1 Tl1 As3'
_space_group_name_H-M_alt 'P m -3 m'
_space_group_IT_number 221
_space_group_name_Hall '-P 4 2 3'
_cell_length_a 5.3693
_cell_length_b 5.3693
_cell_length_c 5.3693
_cell_angle_alpha 90.00
_cell_angle_beta 90.00
_cell_angle_gamma 90.00
loop_
_atom_site_label
_atom_site_type_symbol
_atom_site_fract_x
_atom_site_fract_y
_atom_site_fract_z
_atom_site_occupancy
Al1 Al 0.0000 0.0000 0.0000 1
Tl1 Tl 0.5000 0.5000 0.5000 1
As1 As 0.0000 0.5000 0.5000 1
```

Offset from the most stable computed form: 0.808 eV/atom
Crystal system: cubic
Uncorrected energy: -14.12 eV for the cell shown
Formation enthalpy at 0 K: 1187 meV/atom
DOS at the Fermi energy: 6.64 states/eV/cell